No. 1
SmGa4OsRh2 | PBE-GGA | relaxed

abc: 4.2491 4.2491 26.1424
angles: 90.00 90.00 120.00
Space group R-3m (No. 166, hexagonal axes)
Inequivalent atoms, fractional coordinates:
Sm (0.0000, 0.0000, 0.0000) (multiplicity 3)
Ga (0.0000, 0.0000, 0.1323) (multiplicity 6)
Ga (0.0000, 0.0000, 0.4013) (multiplicity 6)
Os (0.0000, 0.0000, 0.5000) (multiplicity 3)
Rh (0.0000, 0.0000, 0.2372) (multiplicity 6)

Calculated values
Total DFT energy (no corrections) ... -5.860 eV per atom
ΔH_f (0 K) ... -0.5151 eV per atom

---

No. 2
RbMgScS3 | PBE-GGA | relaxed

abc: 8.758 3.964 9.818
angles: 90.00 110.91 90.00
Space group P2_1/m (No. 11)
Inequivalent atoms, fractional coordinates:
Rb (0.222, 0.250, 0.238) (multiplicity 2)
Mg (0.090, 0.250, 0.616) (multiplicity 2)
Sc (0.335, 0.750, 0.876) (multiplicity 2)
S (0.132, 0.250, 0.869) (multiplicity 2)
S (0.206, 0.750, 0.550) (multiplicity 2)
S (0.478, 0.750, 0.146) (multiplicity 2)

Calculated values
Total DFT energy (no corrections) ... -5.130 eV per atom
Raw formation energy ... -1583.9 meV/atom

---

Number 1 is which compound?
SmGa4OsRh2